No. 1
The following is a PBE calculation of crystalline Cs2TlCu4 at its relaxed geometry, from the Alexandria database.

Results
- Energy of formation from the pure elements: 0.570 eV/atom
- SG: No. 139

Lattice parameters (Å, degrees): 5.193 5.193 9.908 74.81 74.81 90.00
Positions (direct):
Cu (0.000, 0.500, 0.000)
Cu (0.144, 0.144, 0.712)
Cu (0.500, 0.000, 0.000)
Cu (0.856, 0.856, 0.288)
Cs (0.649, 0.649, 0.701)
Cs (0.351, 0.351, 0.299)
Tl (0.000, 0.000, 0.000)

---

No. 2
The following is a PBE calculation of crystalline TaCo2Ni2 at its relaxed geometry, from the Alexandria database.

Results
- Energy of formation from the pure elements: 0.041 eV/atom
- ΔE to the lowest computed polymorph: 180.4 meV per atom
- SG: No. 127

Lattice parameters (Å, degrees): 6.782 6.782 2.670 90.00 90.00 90.00
Site moments in Bohr magnetons follow the coordinates.
Positions (direct):
Co (0.829, 0.329, 0.500)  1.18
Co (0.329, 0.171, 0.500)  1.17
Co (0.671, 0.829, 0.500)  1.17
Co (0.171, 0.671, 0.500)  1.18
Ni (0.376, 0.876, 0.000)  0.46
Ni (0.876, 0.624, 0.000)  0.45
Ni (0.124, 0.376, 0.000)  0.45
Ni (0.624, 0.124, 0.000)  0.46
Ta (0.000, 0.000, 0.000)  -0.22
Ta (0.500, 0.500, 0.000)  -0.22

---

No. 3
The following is a PBE calculation of crystalline ZnNi3Rh4 at its relaxed geometry, from the Alexandria database.

Results
- Energy of formation from the pure elements: 0.216 eV/atom
- SG: No. 12

Lattice parameters (Å, degrees): 2.635 4.142 11.937 61.26 96.34 90.00
Positions (direct):
Ni (0.000, 0.500, 0.000)
Ni (0.787, 0.100, 0.573)
Ni (0.213, 0.900, 0.427)
Rh (0.602, 0.219, 0.204)
Rh (0.330, 0.470, 0.661)
Rh (0.670, 0.530, 0.339)
Rh (0.398, 0.781, 0.796)
Zn (0.500, 0.000, 0.000)

---

No. 4
The following is a PBE calculation of crystalline Ca2MoRu at its relaxed geometry, from the Alexandria database.

Results
- Energy of formation from the pure elements: 0.798 eV/atom
- ΔE to the lowest computed polymorph: 574.7 meV per atom
- SG: No. 166

Lattice parameters (Å, degrees): 9.992 9.992 9.992 17.80 17.80 17.80
Positions (direct):
Ca (0.494, 0.494, 0.494)
Ca (0.006, 0.006, 0.006)
Mo (0.250, 0.250, 0.250)
Ru (0.750, 0.750, 0.750)

---

No. 5
The following is a PBE calculation of crystalline Zr2BrCl at its relaxed geometry, from the Alexandria database.

Results
- ΔE to the lowest computed polymorph: 269.4 meV per atom
- SG: No. 35

Lattice parameters (Å, degrees): 3.284 3.284 9.890 90.00 90.00 107.46
Positions (direct):
Zr (0.500, 0.500, 0.240)
Zr (0.000, 0.000, 0.002)
Cl (0.500, 0.500, 0.819)
Br (0.000, 0.000, 0.439)

---

No. 6
The following is a PBE calculation of crystalline FeBiIN2 at its relaxed geometry, from the Alexandria database.

Results
- ΔE to the lowest computed polymorph: 440.0 meV per atom
- SG: No. 123

Lattice parameters (Å, degrees): 4.269 4.269 7.090 90.00 90.00 90.00
Site moments in Bohr magnetons follow the coordinates.
Positions (direct):
N (0.500, 0.000, 0.000)  0.51
N (0.000, 0.500, 0.000)  0.51
Bi (0.000, 0.000, 0.000)  -0.06
Fe (0.500, 0.500, 0.500)  3.13
I (0.000, 0.000, 0.500)  0.02

---

No. 7
The following is a PBE calculation of crystalline Th3MgAu3 at its relaxed geometry, from the Alexandria database.

Results
- Energy of formation from the pure elements: -0.427 eV/atom
- SG: No. 12

Lattice parameters (Å, degrees): 6.977 6.977 8.186 93.62 93.62 112.11
Positions (direct):
Th (0.621, 0.621, 0.344)
Th (0.182, 0.818, 0.500)
Th (0.818, 0.182, 0.500)
Th (0.379, 0.379, 0.656)
Th (0.235, 0.765, 0.000)
Th (0.765, 0.235, 0.000)
Au (0.134, 0.453, 0.277)
Au (0.866, 0.547, 0.723)
Au (0.547, 0.866, 0.723)
Au (0.453, 0.134, 0.277)
Au (0.022, 0.022, 0.786)
Au (0.978, 0.978, 0.214)
Mg (0.713, 0.713, 0.966)
Mg (0.287, 0.287, 0.034)

---

No. 8
The following is a PBE calculation of crystalline CuSi2As at its relaxed geometry, from the Alexandria database.

Results
- ΔE to the lowest computed polymorph: 210.2 meV per atom
- SG: No. 123

Lattice parameters (Å, degrees): 3.653 3.653 4.710 90.00 90.00 90.00
Positions (direct):
As (0.500, 0.000, 0.500)
Cu (0.000, 0.500, 0.500)
Si (0.500, 0.500, 0.000)
Si (0.000, 0.000, 0.000)

---

No. 9
The following is a PBE calculation of crystalline Tb3Pm5Dy3 at its relaxed geometry, from the Alexandria database.

Results
- Energy of formation from the pure elements: 0.338 eV/atom
- SG: No. 189

Lattice parameters (Å, degrees): 3.469 11.211 11.211 120.00 90.00 90.00
Positions (direct):
Tb (0.000, 0.405, 0.405)
Tb (0.000, 0.595, 0.000)
Tb (0.000, 0.000, 0.595)
Pm (0.500, 0.839, 0.000)
Pm (0.500, 0.667, 0.333)
Pm (0.500, 0.161, 0.161)
Pm (0.500, 0.000, 0.839)
Pm (0.500, 0.333, 0.667)
Dy (0.500, 0.000, 0.342)
Dy (0.500, 0.342, 0.000)
Dy (0.500, 0.658, 0.658)

---

No. 10
The following is a PBE calculation of crystalline MnCr2Cl at its relaxed geometry, from the Alexandria database.

Results
- ΔE to the lowest computed polymorph: 524.4 meV per atom
- SG: No. 123

Lattice parameters (Å, degrees): 2.832 4.248 4.248 90.00 90.00 90.00
Site moments in Bohr magnetons follow the coordinates.
Positions (direct):
Cl (0.500, 0.000, 0.500)  0.07
Cr (0.000, 0.000, 0.000)  -1.46
Cr (0.000, 0.500, 0.500)  -1.46
Mn (0.500, 0.500, 0.000)  2.79

---

No. 11
The following is a PBE calculation of crystalline AgBi2Pt at its relaxed geometry, from the Alexandria database.

Results
- Energy of formation from the pure elements: 0.030 eV/atom
- SG: No. 166

Lattice parameters (Å, degrees): 3.992 3.992 9.013 77.20 77.20 60.00
Positions (direct):
Ag (0.000, 0.000, 0.000)
Bi (0.108, 0.108, 0.677)
Bi (0.892, 0.892, 0.323)
Pt (0.500, 0.500, 0.500)

---

No. 12
The following is a PBE calculation of crystalline Hf2MnH at its relaxed geometry, from the Alexandria database.

Results
- ΔE to the lowest computed polymorph: 124.6 meV per atom
- SG: No. 123

Lattice parameters (Å, degrees): 3.016 3.016 6.394 90.00 90.00 90.00
Positions (direct):
Hf (0.000, 0.000, 0.251)
Hf (0.000, 0.000, 0.749)
H (0.500, 0.500, 0.000)
Mn (0.500, 0.500, 0.500)

---

> Number 11 is which compound?

AgBi2Pt